Record 1
Density functional theory data (PBE) for an optimized crystal structure of Mn2CdMo.

Its density of states at the Fermi level is 1.220 states/eV per atom. For the total magnetic moment, the calculation gives 4.3 μB/f.u. For the formation energy, the calculation gives 1.57 eV per formula unit. Its total DFT energy (no corrections) is -7.1295 eV/atom.

The space group is Pm (No. 6) and the conventional cell measures 2.7486, 4.0409 and 5.5919 Å, with angles of 90.00, 97.90 and 90.00 degrees. Symmetry generates all atoms from Mn at (0.0000, 0.0000, 0.0000), Mn at (0.4833, 0.5000, 0.2310), Cd at (0.4490, 0.5000, 0.7358) and Mo at (0.8693, 0.0000, 0.4266).

=====

Record 2
Density functional theory data (PBE) for an optimized crystal structure of BeZnFe.

As for the excess energy over the best structure of this formula in the dataset: 0.137 eV per formula unit. Its density of states at the Fermi level is 0.382 states/eV per atom. For the total magnetic moment, the calculation gives 1.9 μB/f.u. For the formation energy, the calculation gives 0.15 eV per formula unit. Its total DFT energy (no corrections) is -4.4383 eV/atom.

The space group is Cm (No. 8) and the conventional cell measures 12.2320, 2.5427 and 4.2807 Å, with angles of 90.00, 92.76 and 90.00 degrees. Symmetry generates all atoms from Be at (0.0000, 0.0000, 0.0000), Be at (0.1833, 0.0000, 0.4379), Zn at (0.1625, 0.5000, 0.9542), Zn at (0.3456, 0.0000, 0.8132), Fe at (0.0215, 0.5000, 0.4747) and Fe at (0.3440, 0.5000, 0.3179).

=====

Record 3
Density functional theory data (PBE) for an optimized crystal structure of BeZn2Rh.

As for the excess energy over the best structure of this formula in the dataset: 1.457 eV per formula unit. Its density of states at the Fermi level is 0.664 states/eV per atom. For the total magnetic moment, the calculation gives 0.0 μB/f.u. For the formation energy, the calculation gives 0.30 eV per formula unit. Its total DFT energy (no corrections) is -3.3312 eV/atom.

The space group is Cmmm (No. 65) and the conventional cell measures 2.7888, 4.6704 and 8.1642 Å, with angles of 90.00, 90.00 and 90.00 degrees. Symmetry generates all atoms from Be at (0.0000, 0.0000, 0.0000), Zn at (0.0000, 0.5000, 0.2369) and Rh at (0.0000, 0.0000, 0.5000).

=====

Record 4
Density functional theory data (PBE) for an optimized crystal structure of TaAgP2.

As for the excess energy over the best structure of this formula in the dataset: 1.792 eV per formula unit. Its density of states at the Fermi level is 0.587 states/eV per atom. For the total magnetic moment, the calculation gives 0.0 μB/f.u. For the formation energy, the calculation gives 1.22 eV per formula unit. Its total DFT energy (no corrections) is -6.0758 eV/atom.

The space group is Cmm2 (No. 35) and the conventional cell measures 3.5051, 4.3180 and 9.8737 Å, with angles of 90.00, 90.00 and 90.00 degrees. Symmetry generates all atoms from Ta at (0.0000, 0.0000, 0.0000), Ag at (0.0000, 0.5000, 0.7656), P at (0.0000, 0.0000, 0.5531) and P at (0.0000, 0.5000, 0.1922).

=====

Calculated volume per entry: 15.4; 11.1; 13.3; 18.7 Å³ per atom